Crystalline Li2Ac2Al3 at its relaxed geometry, computed with PBE.

Lattice parameters (Å, degrees): 11.086 4.867 7.009 90.00 111.65 90.00
Atoms (fractional coordinates):
Li 0.142 0.000 0.261
Li 0.358 0.500 0.739
Li 0.642 0.500 0.261
Li 0.858 0.000 0.739
Ac 0.156 0.000 0.763
Ac 0.344 0.500 0.237
Ac 0.656 0.500 0.763
Ac 0.844 0.000 0.237
Al 0.000 0.500 0.000
Al 0.088 0.500 0.411
Al 0.412 0.000 0.589
Al 0.500 0.000 0.000
Al 0.588 0.000 0.411
Al 0.912 0.500 0.589

Values from the calculation:
E_tot in eV/atom: -3.53
Symmetry: No. 12



Crystalline Li2AcAl at its relaxed geometry, computed with PBE.

Lattice parameters (Å, degrees): 3.688 3.688 7.200 90.00 90.00 90.00
Atoms (fractional coordinates):
Li 0.000 0.000 0.181
Li 0.000 0.000 0.819
Ac 0.500 0.500 0.500
Al 0.500 0.500 0.000

Values from the calculation:
E_tot in eV/atom: -2.85
Symmetry: No. 123



Crystalline Li4Ac2Al3 at its relaxed geometry, computed with PBE.

Lattice parameters (Å, degrees): 8.897 8.897 8.700 90.00 90.00 142.12
Atoms (fractional coordinates):
Li 0.181 0.319 0.750
Li 0.190 0.810 0.991
Li 0.310 0.690 0.491
Li 0.319 0.181 0.250
Li 0.681 0.819 0.750
Li 0.690 0.310 0.509
Li 0.810 0.190 0.009
Li 0.819 0.681 0.250
Ac 0.108 0.892 0.597
Ac 0.392 0.608 0.097
Ac 0.608 0.392 0.903
Ac 0.892 0.108 0.403
Al 0.000 0.000 0.000
Al 0.021 0.479 0.750
Al 0.479 0.021 0.250
Al 0.500 0.500 0.500
Al 0.521 0.979 0.750
Al 0.979 0.521 0.250

Values from the calculation:
Energy above the most stable polymorph in this dataset in meV per atom: 79
E_tot in eV/atom: -3.10
Symmetry: No. 64



Crystalline LiAcAl3 at its relaxed geometry, computed with PBE.

Lattice parameters (Å, degrees): 12.835 12.835 4.469 90.00 90.00 159.69
Atoms (fractional coordinates):
Li 0.203 0.797 0.750
Li 0.797 0.203 0.250
Ac 0.079 0.921 0.250
Ac 0.921 0.079 0.750
Al 0.315 0.685 0.750
Al 0.369 0.631 0.250
Al 0.474 0.526 0.250
Al 0.526 0.474 0.750
Al 0.631 0.369 0.750
Al 0.685 0.315 0.250

Values from the calculation:
Energy above the most stable polymorph in this dataset in meV per atom: 90
E_tot in eV/atom: -3.60
Symmetry: No. 63



Crystalline Li2AcAl at its relaxed geometry, computed with PBE.

Lattice parameters (Å, degrees): 7.195 7.195 7.195 90.00 90.00 90.00
Atoms (fractional coordinates):
Li 0.250 0.250 0.250
Li 0.250 0.250 0.750
Li 0.250 0.750 0.250
Li 0.250 0.750 0.750
Li 0.750 0.250 0.250
Li 0.750 0.250 0.750
Li 0.750 0.750 0.250
Li 0.750 0.750 0.750
Ac 0.000 0.000 0.000
Ac 0.000 0.500 0.500
Ac 0.500 0.000 0.500
Ac 0.500 0.500 0.000
Al 0.000 0.000 0.500
Al 0.000 0.500 0.000
Al 0.500 0.000 0.000
Al 0.500 0.500 0.500

Values from the calculation:
E_tot in eV/atom: -3.02
Symmetry: No. 225



Crystalline LiAc2Al7 at its relaxed geometry, computed with PBE.

Lattice parameters (Å, degrees): 4.496 4.496 11.147 90.00 90.00 90.00
Atoms (fractional coordinates):
Li 0.000 0.000 0.000
Ac 0.000 0.500 0.747
Ac 0.500 0.000 0.253
Al 0.000 0.000 0.500
Al 0.000 0.500 0.131
Al 0.000 0.500 0.366
Al 0.500 0.000 0.634
Al 0.500 0.000 0.869
Al 0.500 0.500 0.000
Al 0.500 0.500 0.500

Values from the calculation:
E_tot in eV/atom: -3.96
Symmetry: No. 115



Crystalline Li4Ac2Al3 at its relaxed geometry, computed with PBE.

Lattice parameters (Å, degrees): 8.975 7.936 5.810 79.89 60.52 39.59
Atoms (fractional coordinates):
Li 0.012 0.665 0.335
Li 0.335 0.988 0.012
Li 0.665 0.012 0.988
Li 0.988 0.335 0.665
Ac 0.373 0.373 0.627
Ac 0.627 0.627 0.373
Al 0.000 0.000 0.000
Al 0.000 0.000 0.500
Al 0.500 0.500 0.000

Values from the calculation:
Energy above the most stable polymorph in this dataset in meV per atom: 0
E_tot in eV/atom: -3.18
Symmetry: No. 69



Crystalline LiAc4Al at its relaxed geometry, computed with PBE.

Lattice parameters (Å, degrees): 9.562 9.562 9.562 131.54 131.54 70.96
Atoms (fractional coordinates):
Li 0.375 0.625 0.750
Li 0.625 0.375 0.250
Ac 0.000 0.241 0.241
Ac 0.000 0.759 0.759
Ac 0.241 0.000 0.741
Ac 0.241 0.500 0.241
Ac 0.500 0.241 0.741
Ac 0.500 0.759 0.259
Ac 0.759 0.000 0.259
Ac 0.759 0.500 0.759
Al 0.125 0.875 0.250
Al 0.875 0.125 0.750

Values from the calculation:
E_tot in eV/atom: -3.51
Symmetry: No. 141



Crystalline Li2AcAl at its relaxed geometry, computed with PBE.

Lattice parameters (Å, degrees): 4.999 4.999 4.082 90.00 90.00 90.00
Atoms (fractional coordinates):
Li 0.000 0.500 0.000
Li 0.500 0.000 0.000
Ac 0.000 0.000 0.500
Al 0.500 0.500 0.500

Values from the calculation:
E_tot in eV/atom: -2.80
Symmetry: No. 123



Crystalline Li2Ac2Al15 at its relaxed geometry, computed with PBE.

Lattice parameters (Å, degrees): 7.209 7.209 7.209 83.30 83.30 83.30
Atoms (fractional coordinates):
Li 0.098 0.098 0.098
Li 0.902 0.902 0.902
Ac 0.345 0.345 0.345
Ac 0.655 0.655 0.655
Al 0.000 0.000 0.500
Al 0.000 0.289 0.711
Al 0.000 0.500 0.000
Al 0.000 0.711 0.289
Al 0.154 0.652 0.652
Al 0.289 0.000 0.711
Al 0.289 0.711 0.000
Al 0.348 0.348 0.846
Al 0.348 0.846 0.348
Al 0.500 0.000 0.000
Al 0.652 0.154 0.652
Al 0.652 0.652 0.154
Al 0.711 0.000 0.289
Al 0.711 0.289 0.000
Al 0.846 0.348 0.348

Values from the calculation:
E_tot in eV/atom: -3.79
Symmetry: No. 166



Crystalline Li2Ac3Al4 at its relaxed geometry, computed with PBE.

Lattice parameters (Å, degrees): 6.318 6.318 9.276 113.52 113.52 46.15
Atoms (fractional coordinates):
Li 0.073 0.073 0.247
Li 0.927 0.927 0.753
Ac 0.181 0.181 0.650
Ac 0.500 0.500 0.000
Ac 0.819 0.819 0.350
Al 0.240 0.240 0.073
Al 0.482 0.482 0.636
Al 0.518 0.518 0.364
Al 0.760 0.760 0.927

Values from the calculation:
E_tot in eV/atom: -3.68
Symmetry: No. 12



Crystalline Li4AcAl at its relaxed geometry, computed with PBE.

Lattice parameters (Å, degrees): 5.682 5.682 5.682 60.00 60.00 60.00
Atoms (fractional coordinates):
Li 0.378 0.378 0.378
Li 0.378 0.378 0.867
Li 0.378 0.867 0.378
Li 0.867 0.378 0.378
Ac 0.000 0.000 0.000
Al 0.750 0.750 0.750

Values from the calculation:
E_tot in eV/atom: -2.62
Symmetry: No. 216



Number 1: density 5.2 g cm⁻³. Number 2: density 4.5 g cm⁻³. Number 3: density 4.4 g cm⁻³. Number 4: density 4.1 g cm⁻³. Number 5: density 4.8 g cm⁻³. Number 6: density 4.8 g cm⁻³. Number 7: density 4.4 g cm⁻³. Number 8: density 6.5 g cm⁻³. Number 9: density 4.4 g cm⁻³. Number 10: density 3.9 g cm⁻³. Number 11: density 5.5 g cm⁻³. Number 12: density 3.6 g cm⁻³.